#a
HfV2BMo: relaxed, GGA-PBE.

Values from the calculation:
SG: P4/mmm
Total magnetic moment, μB per formula unit: 0.0
Volume, Å³/cell: 98

Structure (CIF):
```
data_HfV2BMo
_space_group_name_H-M_alt 'P 1'
_space_group_IT_number 1
_space_group_name_Hall 'P 1'
_cell_length_a 4.544
_cell_length_b 4.761
_cell_length_c 4.544
_cell_angle_alpha 90.00
_cell_angle_beta 90.00
_cell_angle_gamma 90.00
loop_
_atom_site_label
_atom_site_fract_x
_atom_site_fract_y
_atom_site_fract_z
V1 0.500 0.000 0.000
Mo1 0.000 0.500 0.000
Hf1 0.000 0.000 0.000
B1 0.500 0.500 0.500
V2 0.000 0.000 0.500
```

=====

#b
HfV2BMo: relaxed, GGA-PBE.

Values from the calculation:
SG: P4/mmm
Total magnetic moment, μB per formula unit: 0.0
Volume, Å³/cell: 99

Structure (CIF):
```
data_HfV2BMo
_space_group_name_H-M_alt 'P 1'
_space_group_IT_number 1
_space_group_name_Hall 'P 1'
_cell_length_a 4.379
_cell_length_b 5.172
_cell_length_c 4.379
_cell_angle_alpha 90.00
_cell_angle_beta 90.00
_cell_angle_gamma 90.00
loop_
_atom_site_label
_atom_site_fract_x
_atom_site_fract_y
_atom_site_fract_z
V1 0.500 0.000 0.000
Mo1 0.000 0.000 0.000
Hf1 0.000 0.500 0.000
V2 0.000 0.000 0.500
B1 0.500 0.500 0.500
```

=====

Which structure wins on stability? #b wins.

=====

#a
HfB3N: relaxed, GGA-PBE.

Values from the calculation:
SG: Pm-3m
Total magnetic moment, μB per formula unit: 0.0
Volume, Å³/cell: 47

Structure (CIF):
```
data_HfB3N
_space_group_name_H-M_alt 'P 1'
_space_group_IT_number 1
_space_group_name_Hall 'P 1'
_cell_length_a 3.612
_cell_length_b 3.612
_cell_length_c 3.612
_cell_angle_alpha 90.00
_cell_angle_beta 90.00
_cell_angle_gamma 90.00
loop_
_atom_site_label
_atom_site_fract_x
_atom_site_fract_y
_atom_site_fract_z
N1 0.000 0.000 0.000
B1 0.000 0.000 0.500
Hf1 0.500 0.500 0.500
B2 0.000 0.500 0.000
B3 0.500 0.000 0.000
```

=====

#b
HfB3N: relaxed, GGA-PBE.

Values from the calculation:
SG: Pm-3m
Total magnetic moment, μB per formula unit: 1.2
Volume, Å³/cell: 95

Structure (CIF):
```
data_HfB3N
_space_group_name_H-M_alt 'P 1'
_space_group_IT_number 1
_space_group_name_Hall 'P 1'
_cell_length_a 4.558
_cell_length_b 4.558
_cell_length_c 4.558
_cell_angle_alpha 90.00
_cell_angle_beta 90.00
_cell_angle_gamma 90.00
loop_
_atom_site_label
_atom_site_fract_x
_atom_site_fract_y
_atom_site_fract_z
B1 0.000 0.500 0.000
B2 0.000 0.000 0.500
B3 0.500 0.000 0.000
Hf1 0.000 0.000 0.000
N1 0.500 0.500 0.500
```

=====

Which structure wins on stability? #a wins.

=====

#a
HfBS2N: relaxed, GGA-PBE.

Values from the calculation:
SG: P4/mmm
Total magnetic moment, μB per formula unit: 1.9
Volume, Å³/cell: 104

Structure (CIF):
```
data_HfBS2N
_space_group_name_H-M_alt 'P 1'
_space_group_IT_number 1
_space_group_name_Hall 'P 1'
_cell_length_a 4.995
_cell_length_b 4.995
_cell_length_c 4.159
_cell_angle_alpha 90.00
_cell_angle_beta 90.00
_cell_angle_gamma 90.00
loop_
_atom_site_label
_atom_site_fract_x
_atom_site_fract_y
_atom_site_fract_z
Hf1 0.000 0.000 0.000
B1 0.500 0.500 0.500
S1 0.500 0.000 0.000
S2 0.000 0.500 0.000
N1 0.000 0.000 0.500
```

=====

#b
HfBS2N: relaxed, GGA-PBE.

Values from the calculation:
SG: P4/mmm
Total magnetic moment, μB per formula unit: 2.9
Volume, Å³/cell: 115

Structure (CIF):
```
data_HfBS2N
_space_group_name_H-M_alt 'P 1'
_space_group_IT_number 1
_space_group_name_Hall 'P 1'
_cell_length_a 4.906
_cell_length_b 4.792
_cell_length_c 4.906
_cell_angle_alpha 90.00
_cell_angle_beta 90.00
_cell_angle_gamma 90.00
loop_
_atom_site_label
_atom_site_fract_x
_atom_site_fract_y
_atom_site_fract_z
B1 0.000 0.500 0.000
N1 0.500 0.500 0.500
S1 0.000 0.000 0.500
Hf1 0.000 0.000 0.000
S2 0.500 0.000 0.000
```

=====

#c
HfBS2N: relaxed, GGA-PBE.

Values from the calculation:
SG: P4/mmm
Total magnetic moment, μB per formula unit: 0.0
Volume, Å³/cell: 67

Structure (CIF):
```
data_HfBS2N
_space_group_name_H-M_alt 'P 1'
_space_group_IT_number 1
_space_group_name_Hall 'P 1'
_cell_length_a 4.880
_cell_length_b 4.880
_cell_length_c 2.814
_cell_angle_alpha 90.00
_cell_angle_beta 90.00
_cell_angle_gamma 90.00
loop_
_atom_site_label
_atom_site_fract_x
_atom_site_fract_y
_atom_site_fract_z
N1 0.000 0.000 0.500
B1 0.000 0.000 0.000
S1 0.500 0.000 0.000
Hf1 0.500 0.500 0.500
S2 0.000 0.500 0.000
```

=====

Which structure wins on stability? #c wins.

=====

#a
HfBSN2: relaxed, GGA-PBE.

Values from the calculation:
SG: P4/mmm
Total magnetic moment, μB per formula unit: 0.0
Volume, Å³/cell: 52

Structure (CIF):
```
data_HfBSN2
_space_group_name_H-M_alt 'P 1'
_space_group_IT_number 1
_space_group_name_Hall 'P 1'
_cell_length_a 3.506
_cell_length_b 3.506
_cell_length_c 4.269
_cell_angle_alpha 90.00
_cell_angle_beta 90.00
_cell_angle_gamma 90.00
loop_
_atom_site_label
_atom_site_fract_x
_atom_site_fract_y
_atom_site_fract_z
Hf1 0.500 0.500 0.500
S1 0.000 0.000 0.500
N1 0.000 0.500 0.000
B1 0.000 0.000 0.000
N2 0.500 0.000 0.000
```

=====

#b
HfBSN2: relaxed, GGA-PBE.

Values from the calculation:
SG: P4/mmm
Total magnetic moment, μB per formula unit: 2.3
Volume, Å³/cell: 88

Structure (CIF):
```
data_HfBSN2
_space_group_name_H-M_alt 'P 1'
_space_group_IT_number 1
_space_group_name_Hall 'P 1'
_cell_length_a 4.151
_cell_length_b 4.151
_cell_length_c 5.135
_cell_angle_alpha 90.00
_cell_angle_beta 90.00
_cell_angle_gamma 90.00
loop_
_atom_site_label
_atom_site_fract_x
_atom_site_fract_y
_atom_site_fract_z
Hf1 0.000 0.000 0.000
N1 0.000 0.500 0.000
S1 0.000 0.000 0.500
B1 0.500 0.500 0.500
N2 0.500 0.000 0.000
```

=====

Which structure wins on stability? #a wins.

=====

#a
HfBSe2N: relaxed, GGA-PBE.

Values from the calculation:
SG: P4/mmm
Total magnetic moment, μB per formula unit: 0.0
Volume, Å³/cell: 82

Structure (CIF):
```
data_HfBSe2N
_space_group_name_H-M_alt 'P 1'
_space_group_IT_number 1
_space_group_name_Hall 'P 1'
_cell_length_a 5.486
_cell_length_b 5.486
_cell_length_c 2.723
_cell_angle_alpha 90.00
_cell_angle_beta 90.00
_cell_angle_gamma 90.00
loop_
_atom_site_label
_atom_site_fract_x
_atom_site_fract_y
_atom_site_fract_z
Se1 0.500 0.000 0.000
N1 0.000 0.000 0.500
Hf1 0.500 0.500 0.500
Se2 0.000 0.500 0.000
B1 0.000 0.000 0.000
```

=====

#b
HfBSe2N: relaxed, GGA-PBE.

Values from the calculation:
SG: P4/mmm
Total magnetic moment, μB per formula unit: 1.6
Volume, Å³/cell: 113

Structure (CIF):
```
data_HfBSe2N
_space_group_name_H-M_alt 'P 1'
_space_group_IT_number 1
_space_group_name_Hall 'P 1'
_cell_length_a 5.241
_cell_length_b 5.241
_cell_length_c 4.114
_cell_angle_alpha 90.00
_cell_angle_beta 90.00
_cell_angle_gamma 90.00
loop_
_atom_site_label
_atom_site_fract_x
_atom_site_fract_y
_atom_site_fract_z
Hf1 0.000 0.000 0.000
N1 0.000 0.000 0.500
B1 0.500 0.500 0.500
Se1 0.500 0.000 0.000
Se2 0.000 0.500 0.000
```

=====

Which structure wins on stability? #a wins.

=====

#a
Na3HfB: relaxed, GGA-PBE.

Values from the calculation:
SG: Pm-3m
Total magnetic moment, μB per formula unit: 0.0
Volume, Å³/cell: 124

Structure (CIF):
```
data_Na3HfB
_space_group_name_H-M_alt 'P 1'
_space_group_IT_number 1
_space_group_name_Hall 'P 1'
_cell_length_a 4.990
_cell_length_b 4.990
_cell_length_c 4.990
_cell_angle_alpha 90.00
_cell_angle_beta 90.00
_cell_angle_gamma 90.00
loop_
_atom_site_label
_atom_site_fract_x
_atom_site_fract_y
_atom_site_fract_z
Na1 0.000 0.000 0.500
Hf1 0.500 0.500 0.500
Na2 0.000 0.500 0.000
B1 0.000 0.000 0.000
Na3 0.500 0.000 0.000
```

=====

#b
Na3HfB: relaxed, GGA-PBE.

Values from the calculation:
SG: Pm-3m
Total magnetic moment, μB per formula unit: 3.1
Volume, Å³/cell: 226

Structure (CIF):
```
data_Na3HfB
_space_group_name_H-M_alt 'P 1'
_space_group_IT_number 1
_space_group_name_Hall 'P 1'
_cell_length_a 6.095
_cell_length_b 6.095
_cell_length_c 6.095
_cell_angle_alpha 90.00
_cell_angle_beta 90.00
_cell_angle_gamma 90.00
loop_
_atom_site_label
_atom_site_fract_x
_atom_site_fract_y
_atom_site_fract_z
Na1 0.000 0.500 0.000
Na2 0.500 0.000 0.000
B1 0.500 0.500 0.500
Hf1 0.000 0.000 0.000
Na3 0.000 0.000 0.500
```

=====

Which structure wins on stability? #a wins.

=====

#a
NaHf2B2: relaxed, GGA-PBE.

Values from the calculation:
SG: I4/mmm
Total magnetic moment, μB per formula unit: 0.9
Volume, Å³/cell: 95

Structure (CIF):
```
data_NaHf2B2
_space_group_name_H-M_alt 'P 1'
_space_group_IT_number 1
_space_group_name_Hall 'P 1'
_cell_length_a 4.326
_cell_length_b 4.326
_cell_length_c 5.934
_cell_angle_alpha 68.62
_cell_angle_beta 68.62
_cell_angle_gamma 90.00
loop_
_atom_site_label
_atom_site_fract_x
_atom_site_fract_y
_atom_site_fract_z
Na1 0.000 0.000 0.000
Hf1 0.326 0.326 0.348
B1 0.250 0.750 0.500
B2 0.750 0.250 0.500
Hf2 0.674 0.674 0.652
```

=====

#b
NaHf2B2: relaxed, GGA-PBE.

Values from the calculation:
SG: P4/mbm
Total magnetic moment, μB per formula unit: 0.0
Volume, Å³/cell: 150

Structure (CIF):
```
data_NaHf2B2
_space_group_name_H-M_alt 'P 1'
_space_group_IT_number 1
_space_group_name_Hall 'P 1'
_cell_length_a 7.285
_cell_length_b 7.285
_cell_length_c 2.833
_cell_angle_alpha 90.00
_cell_angle_beta 90.00
_cell_angle_gamma 90.00
loop_
_atom_site_label
_atom_site_fract_x
_atom_site_fract_y
_atom_site_fract_z
Hf1 0.359 0.859 0.000
B1 0.162 0.662 0.500
Hf2 0.141 0.359 0.000
B2 0.662 0.838 0.500
B3 0.838 0.338 0.500
Na1 0.000 0.000 0.000
B4 0.338 0.162 0.500
Hf3 0.859 0.641 0.000
Hf4 0.641 0.141 0.000
Na2 0.500 0.500 0.000
```

=====

Which structure wins on stability? #a wins.

=====

#a
NaHf3B: relaxed, GGA-PBE.

Values from the calculation:
SG: Pm-3m
Total magnetic moment, μB per formula unit: 0.3
Volume, Å³/cell: 104

Structure (CIF):
```
data_NaHf3B
_space_group_name_H-M_alt 'P 1'
_space_group_IT_number 1
_space_group_name_Hall 'P 1'
_cell_length_a 4.696
_cell_length_b 4.696
_cell_length_c 4.696
_cell_angle_alpha 90.00
_cell_angle_beta 90.00
_cell_angle_gamma 90.00
loop_
_atom_site_label
_atom_site_fract_x
_atom_site_fract_y
_atom_site_fract_z
Hf1 0.000 0.000 0.500
Na1 0.500 0.500 0.500
Hf2 0.500 0.000 0.000
B1 0.000 0.000 0.000
Hf3 0.000 0.500 0.000
```

=====

#b
NaHf3B: relaxed, GGA-PBE.

Values from the calculation:
SG: Pm-3m
Total magnetic moment, μB per formula unit: 0.0
Volume, Å³/cell: 111

Structure (CIF):
```
data_NaHf3B
_space_group_name_H-M_alt 'P 1'
_space_group_IT_number 1
_space_group_name_Hall 'P 1'
_cell_length_a 4.810
_cell_length_b 4.810
_cell_length_c 4.810
_cell_angle_alpha 90.00
_cell_angle_beta 90.00
_cell_angle_gamma 90.00
loop_
_atom_site_label
_atom_site_fract_x
_atom_site_fract_y
_atom_site_fract_z
Hf1 0.000 0.500 0.000
Na1 0.000 0.000 0.000
Hf2 0.000 0.000 0.500
B1 0.500 0.500 0.500
Hf3 0.500 0.000 0.000
```

=====

Which structure wins on stability? #a wins.